Entry 1:
The following is a GGA-PBE calculation of a geometry-optimized KLi2Br3 structure, from Alexandria via LeMat-Bulk.

Summary:
total moment	0.00	μB per cell
formation energy from raw total energies	-151.5	kJ/mol of atoms
V	188.0	Å³/f.u.
uncorrected energy	-38.7	eV per cell

Lattice parameters (Å, degrees): 4.3832 7.1610 12.8579 108.70 99.81 90.00
Atoms (fractional coordinates):
K  0.3621  0.1560  0.7243
K  0.6379  0.8440  0.2757
Li  0.2954  0.6084  0.5907
Li  0.7046  0.3916  0.4093
Li  0.9461  0.8017  0.8921
Li  0.0539  0.1983  0.1079
Br  0.2323  0.2461  0.4646
Br  0.0486  0.8389  0.0972
Br  0.3944  0.6414  0.7889
Br  0.7677  0.7539  0.5354
Br  0.6056  0.3586  0.2111
Br  0.9514  0.1611  0.9028

---

Entry 2:
The following is a GGA-PBE calculation of a geometry-optimized CsPb2Au2 structure, from Alexandria via LeMat-Bulk.

Summary:
total moment	0.00	μB per cell
V	146.5	Å³/f.u.
DFT formation energy	-0.04	eV per atom
uncorrected energy	-30.0	eV per cell

Lattice parameters (Å, degrees): 9.3815 9.3815 3.3281 90.00 90.00 90.00
Atoms (fractional coordinates):
Cs  0.0000  0.0000  0.0000
Cs  0.5000  0.5000  0.0000
Pb  0.8680  0.3680  0.0000
Pb  0.6320  0.8680  0.0000
Pb  0.1320  0.6320  0.0000
Pb  0.3680  0.1320  0.0000
Au  0.6565  0.1565  0.5000
Au  0.8435  0.6565  0.5000
Au  0.3435  0.8435  0.5000
Au  0.1565  0.3435  0.5000

---

Entry 3:
The following is a GGA-PBE calculation of a geometry-optimized TeMoAsS2 structure, from Alexandria via LeMat-Bulk.

Summary:
total moment	3.09	μB per cell
formation energy from raw total energies	123.3	kJ/mol of atoms
V	132.7	Å³/f.u.
uncorrected energy	-20.5	eV per cell

Lattice parameters (Å, degrees): 4.9554 5.4049 4.9554 90.00 90.00 90.00
Each line ends with the local moment (μB).
Atoms (fractional coordinates):
S  0.0000  0.0000  0.5000  -0.12
S  0.5000  0.0000  0.0000  -0.12
Mo  0.5000  0.5000  0.5000  3.58
Te  0.0000  0.0000  0.0000  0.05
As  0.0000  0.5000  0.0000  -0.42

---

Entry 4:
The following is a GGA-PBE calculation of a geometry-optimized LaCo structure, from Alexandria via LeMat-Bulk.

Summary:
total moment	2.19	μB per cell
V	46.5	Å³/f.u.
DFT formation energy	-0.04	eV per atom
uncorrected energy	-72.6	eV per cell

Lattice parameters (Å, degrees): 8.6739 8.6739 4.2786 90.00 90.00 120.00
Each line ends with the local moment (μB).
Atoms (fractional coordinates):
La  0.8058  0.1914  0.2500  -0.07
La  0.6144  0.8058  0.7500  -0.07
La  0.8086  0.6144  0.2500  -0.07
La  0.1942  0.8086  0.7500  -0.07
La  0.3856  0.1942  0.2500  -0.07
La  0.1914  0.3856  0.7500  -0.07
Co  0.4266  0.8531  0.2500  0.50
Co  0.5734  0.4266  0.7500  0.50
Co  0.1469  0.5734  0.2500  0.50
Co  0.5734  0.1469  0.7500  0.50
Co  0.4266  0.5734  0.2500  0.50
Co  0.8531  0.4266  0.7500  0.50

---

Entry 5:
The following is a GGA-PBE calculation of a geometry-optimized Mn2BeTe structure, from Alexandria via LeMat-Bulk.

Summary:
total moment	6.48	μB per cell
formation energy from raw total energies	41.1	kJ/mol of atoms
V	62.4	Å³/f.u.
uncorrected energy	-23.5	eV per cell

Lattice parameters (Å, degrees): 3.0062 3.0062 6.9044 90.00 90.00 91.18
Each line ends with the local moment (μB).
Atoms (fractional coordinates):
Be  0.5000  0.5000  0.7500  -0.10
Te  0.5000  0.5000  0.2500  -0.04
Mn  0.0000  0.0000  0.9367  3.17
Mn  0.0000  0.0000  0.5633  3.17

---

Entry 6:
The following is a GGA-PBE calculation of a geometry-optimized MnMo2Au structure, from Alexandria via LeMat-Bulk.

Summary:
total moment	0.00	μB per cell
V	60.7	Å³/f.u.
DFT formation energy	0.34	eV per atom
uncorrected energy	-32.7	eV per cell

Lattice parameters (Å, degrees): 9.3682 9.3682 9.3682 16.92 16.92 16.92
Atoms (fractional coordinates):
Au  0.7500  0.7500  0.7500
Mn  0.2500  0.2500  0.2500
Mo  0.9921  0.9921  0.9921
Mo  0.5079  0.5079  0.5079